Here is a relaxed structure of SnBiPt6 from Alexandria. Energies are from PBE.

```
data_SnBiPt6
_chemical_formula_sum 'Sn1 Bi1 Pt6'
_cell_length_a 4.134
_cell_length_b 4.134
_cell_length_c 8.176
_cell_angle_alpha 90.00
_cell_angle_beta 90.00
_cell_angle_gamma 90.00
_symmetry_space_group_name_H-M 'P 4/m m m'
_symmetry_Int_Tables_number 123
_symmetry_space_group_name_Hall '-P 4 2'
loop_
_atom_site_label
_atom_site_fract_x
_atom_site_fract_y
_atom_site_fract_z
Sn1 0.000 0.000 0.000
Bi1 0.000 0.000 0.500
Pt1 0.000 0.500 0.238
Pt2 0.500 0.500 0.000
Pt3 0.500 0.500 0.500
```

The calculation puts the energy of formation from the pure elements at -0.1901 eV/atom. The value obtained for the calculated volume is 139.71 Å³ per cell. For the density of states at the Fermi level, the calculation gives 0.594 states/eV/atom.